First-principles (PBE) data for crystalline MoRu at its relaxed geometry, as listed in Alexandria via LeMat-Bulk.

```
2
Lattice="1.3834 0.7987 4.4978 -1.3834 0.7987 4.4978 0.0000 -1.5974 4.4978" Properties=species:S:1:pos:R:3 pbc="T T T"
Mo 0.0000 0.0000 0.0000
Ru 0.0000 0.0000 6.7466
```

Output
As for the total energy: -9.953 eV/atom. Its mass density is 10.97 g/cm³.


First-principles (PBE) data for crystalline Cd3Mo2 at its relaxed geometry, as listed in Alexandria via LeMat-Bulk.

```
5
Lattice="1.4659 0.8464 12.4596 -1.4659 0.8464 12.4596 0.0000 -1.6927 12.4596" Properties=species:S:1:pos:R:3 pbc="T T T"
Cd 0.0000 0.0000 0.0000
Cd 0.0000 0.0000 7.5862
Cd 0.0000 0.0000 29.7925
Mo 0.0000 0.0000 14.9098
Mo 0.0000 0.0000 22.4689
```

Output
As for the total energy: -4.405 eV/atom. Its mass density is 9.47 g/cm³.


First-principles (PBE) data for crystalline CsI2O2 at its relaxed geometry, as listed in Alexandria via LeMat-Bulk.

```
5
Lattice="4.4944 0.0000 0.0000 0.0000 4.4944 0.0000 0.0000 0.0000 8.5047" Properties=species:S:1:pos:R:3 pbc="T T T"
Cs 0.0000 0.0000 0.0000
I 0.0000 0.0000 4.2523
I 2.2472 2.2472 4.2523
O 0.0000 2.2472 0.0000
O 2.2472 0.0000 0.0000
```

Output
The calculation puts the uncorrected formation energy at 0.4391 eV/atom. As for the total energy: -2.335 eV/atom. Its mass density is 4.05 g/cm³. The energy above the lowest structure with this stoichiometry is 569 meV per atom.


First-principles (PBE) data for crystalline ZnRu2Rh at its relaxed geometry, as listed in Alexandria via LeMat-Bulk.

```
4
Lattice="-1.8621 1.8621 4.0311 1.8621 -1.8621 4.0311 1.8621 1.8621 -4.0311" Properties=species:S:1:pos:R:3 pbc="T T T"
Zn 0.0000 0.0000 0.0000
Ru 1.8621 0.0000 2.0155
Ru 0.0000 1.8621 2.0155
Rh 0.0000 0.0000 4.0311
```

Output
As for the total energy: -6.740 eV/atom. Its mass density is 11.00 g/cm³.


First-principles (PBE) data for crystalline K2IO2 at its relaxed geometry, as listed in Alexandria via LeMat-Bulk.

```
20
Lattice="7.5872 0.0000 0.0000 0.0000 5.4108 0.0000 0.0000 0.0000 11.7787" Properties=species:S:1:pos:R:3 pbc="T T T"
K 0.5158 1.3527 2.8321
K 1.1149 1.3527 7.0186
K 2.6787 4.0581 1.1293
K 3.2778 4.0581 8.7214
K 4.3094 1.3527 3.0572
K 4.9085 1.3527 10.6493
K 6.4723 4.0581 4.7600
K 7.0715 4.0581 8.9466
I 1.2071 1.3527 11.0100
I 2.5865 4.0581 5.1207
I 5.0008 1.3527 6.6580
I 6.3801 4.0581 0.7687
O 0.1154 4.0581 2.3502
O 1.2795 4.0581 6.7948
O 2.5141 1.3527 0.9055
O 3.6782 1.3527 8.2395
O 3.9090 4.0581 3.5392
O 5.0731 4.0581 10.8732
O 6.3078 1.3527 4.9839
O 7.4718 1.3527 9.4285
```

Output
The calculation puts the uncorrected formation energy at -0.9615 eV/atom. As for the total energy: -3.694 eV/atom. Its mass density is 3.26 g/cm³. The energy above the lowest structure with this stoichiometry is 39 meV per atom.


First-principles (PBE) data for crystalline Tl4Hg15Au at its relaxed geometry, as listed in Alexandria via LeMat-Bulk.

```
20
Lattice="5.1614 0.0000 0.0000 0.0000 5.1741 0.0000 0.0000 0.0000 20.5992" Properties=species:S:1:pos:R:3 pbc="T T T"
Tl 0.0000 0.0000 2.1860
Tl 0.0000 0.0000 6.5970
Tl 0.0000 0.0000 14.0022
Tl 0.0000 0.0000 18.4132
Hg 0.0000 2.5870 0.0000
Hg 0.0000 2.5870 4.3273
Hg 0.0000 2.5870 8.5534
Hg 0.0000 2.5870 12.0457
Hg 0.0000 2.5870 16.2718
Hg 2.5807 0.0000 0.0000
Hg 2.5807 0.0000 4.3230
Hg 2.5807 0.0000 8.5615
Hg 2.5807 0.0000 12.0377
Hg 2.5807 0.0000 16.2762
Hg 2.5807 2.5870 2.1609
Hg 2.5807 2.5870 6.4507
Hg 2.5807 2.5870 10.2996
Hg 2.5807 2.5870 14.1484
Hg 2.5807 2.5870 18.4383
Au 0.0000 0.0000 10.2996
```

Output
As for the total energy: -0.864 eV/atom. Its mass density is 12.14 g/cm³.


First-principles (PBE) data for crystalline Ho7RuS5 at its relaxed geometry, as listed in Alexandria via LeMat-Bulk.

```
26
Lattice="1.9119 -6.4084 0.0000 1.9119 6.4084 0.0000 0.0000 0.0000 23.4945" Properties=species:S:1:pos:R:3 pbc="T T T"
Ho 1.9119 5.9403 11.7472
Ho 1.9119 4.7183 5.0852
Ho 1.9119 4.5301 18.5162
Ho 1.9119 2.6243 10.1135
Ho 1.9119 2.4439 13.4222
Ho 1.9119 1.3017 3.1023
Ho 1.9119 1.0490 20.2135
Ho 1.9119 -1.0490 8.4663
Ho 1.9119 -1.3017 14.8495
Ho 1.9119 -2.4439 1.6750
Ho 1.9119 -2.6243 21.8607
Ho 1.9119 -4.5301 6.7689
Ho 1.9119 -4.7183 16.8324
Ho 1.9119 -5.9403 0.0000
Ru 1.9119 2.4437 0.2026
Ru 1.9119 -2.4437 11.9499
S 1.9119 5.8177 2.6161
S 1.9119 5.6566 20.9652
S 1.9119 3.6298 7.5756
S 1.9119 3.4524 15.9850
S 1.9119 0.1196 5.8576
S 1.9119 -0.1196 17.6049
S 1.9119 -3.4524 4.2378
S 1.9119 -3.6298 19.3228
S 1.9119 -5.6566 9.2180
S 1.9119 -5.8177 14.3634
```

Output
The calculation puts the uncorrected formation energy at -1.6003 eV/atom. As for the total energy: -6.366 eV/atom. Its mass density is 8.17 g/cm³.


First-principles (PBE) data for crystalline Sc4AlSiO at its relaxed geometry, as listed in Alexandria via LeMat-Bulk.

```
14
Lattice="2.9768 -7.3881 0.0000 2.9768 7.3881 0.0000 0.0000 0.0000 5.9523" Properties=species:S:1:pos:R:3 pbc="T T T"
Sc 1.4884 3.6940 0.0000
Sc 1.4884 3.6940 2.9762
Sc 2.9768 6.2318 4.4642
Sc 2.9768 1.2677 4.4642
Sc 1.4884 -3.6940 0.0000
Sc 1.4884 -3.6940 2.9762
Sc 2.9768 -1.2677 1.4881
Sc 2.9768 -6.2318 1.4881
Al 2.9768 1.6017 1.4881
Al 2.9768 -1.6017 4.4642
Si 2.9768 5.7038 1.4881
Si 2.9768 -5.7038 4.4642
O 2.9768 3.6986 4.4642
O 2.9768 -3.6986 1.4881
```

Output
The calculation puts the uncorrected formation energy at -1.1750 eV/atom. As for the total energy: -6.811 eV/atom. Its mass density is 3.18 g/cm³.


First-principles (PBE) data for crystalline NdAgHgPb at its relaxed geometry, as listed in Alexandria via LeMat-Bulk.

```
4
Lattice="0.0000 3.7155 3.7155 3.7155 0.0000 3.7155 3.7155 3.7155 0.0000" Properties=species:S:1:pos:R:3 pbc="T T T"
Nd 0.0000 0.0000 0.0000
Ag 1.8578 1.8578 1.8578
Hg 5.5733 5.5733 5.5733
Pb 3.7155 3.7155 3.7155
```

Output
As for the total energy: -3.209 eV/atom. Its mass density is 10.68 g/cm³. The energy above the lowest structure with this stoichiometry is 22 meV per atom.


First-principles (PBE) data for crystalline Ta2Cr3Os at its relaxed geometry, as listed in Alexandria via LeMat-Bulk.

```
6
Lattice="4.2366 -2.4500 0.0000 4.2366 2.4500 0.0000 -2.8313 0.0000 4.1696" Properties=species:S:1:pos:R:3 pbc="T T T"
Ta -0.0047 0.0000 1.5480
Ta 5.6466 0.0000 2.6215
Cr 2.1183 1.2250 0.0000
Cr 2.1183 -1.2250 0.0000
Cr 4.2366 0.0000 0.0000
Os 2.8209 0.0000 2.0848
```

Output
As for the total energy: -10.798 eV/atom. Its mass density is 13.58 g/cm³.


First-principles (PBE) data for crystalline CaCuH2 at its relaxed geometry, as listed in Alexandria via LeMat-Bulk.

```
8
Lattice="-2.1911 2.1911 5.1946 2.1911 -2.1911 5.1946 2.1911 2.1911 -5.1946" Properties=species:S:1:pos:R:3 pbc="T T T"
Ca 0.0000 0.0000 0.0000
Ca 0.0000 2.1911 2.5973
Cu 2.1911 0.0000 2.5973
Cu 0.0000 0.0000 5.1946
H 1.0955 -0.4799 3.8959
H 1.7112 1.0955 1.2986
H 1.0955 2.6710 -1.2986
H 0.4799 1.0955 6.4932
```

Output
As for the total energy: -3.278 eV/atom. Its mass density is 3.52 g/cm³. The energy above the lowest structure with this stoichiometry is 0 meV per atom.


First-principles (PBE) data for crystalline CaSm2Hg at its relaxed geometry, as listed in Alexandria via LeMat-Bulk.

```
4
Lattice="0.0000 3.9187 3.9187 3.9187 0.0000 3.9187 3.9187 3.9187 0.0000" Properties=species:S:1:pos:R:3 pbc="T T T"
Ca 0.0000 0.0000 0.0000
Sm 1.9594 1.9594 1.9594
Sm 5.8781 5.8781 5.8781
Hg 3.9187 3.9187 3.9187
```

Output
As for the total energy: -3.011 eV/atom. Its mass density is 7.47 g/cm³. The energy above the lowest structure with this stoichiometry is 83 meV per atom.


Number 1: M_tot 0.00 μB per formula unit. Number 2: M_tot 0.00 μB per formula unit. Number 3: M_tot 0.23 μB per formula unit. Number 4: M_tot 0.00 μB per formula unit. Number 5: M_tot 1.04 μB per formula unit. Number 6: M_tot 0.00 μB per formula unit. Number 7: M_tot 0.00 μB per formula unit. Number 8: M_tot 0.01 μB per formula unit. Number 9: M_tot 0.00 μB per formula unit. Number 10: M_tot 0.00 μB per formula unit. Number 11: M_tot 0.00 μB per formula unit. Number 12: M_tot 0.00 μB per formula unit.